No. 1
DFT (GGA-PBE) results for crystalline AlBC2 at its relaxed geometry.

## Properties
Energy above the most stable polymorph in this dataset: 1628 meV/atom
Formation enthalpy at 0 K: 2.1857 eV per atom
DOS(E_F): 0.465 states/eV per atom
Calculated density: 3.1 Mg/m³
Spin magnetization: 0.0 μB/cell

Cell: 5.095 5.095 5.095 Å, 90.00 90.00 90.00°
Space group Fm-3m (No. 225)
One atom of each set of equivalent atoms:
Al: 0.000 0.000 0.000 [4 per cell]
B: 0.000 0.000 0.500 [4 per cell]
C: 0.250 0.250 0.250 [8 per cell]



No. 2
DFT (GGA-PBE) results for crystalline AlB2C at its relaxed geometry.

## Properties
Formation enthalpy at 0 K: 2.1252 eV per atom
DOS(E_F): 0.338 states/eV per atom
Calculated density: 2.8 Mg/m³
Spin magnetization: 0.0 μB/cell

Cell: 5.249 5.249 5.249 Å, 90.00 90.00 90.00°
Space group Fm-3m (No. 225)
One atom of each set of equivalent atoms:
Al: 0.000 0.000 0.000 [4 per cell]
B: 0.250 0.250 0.250 [8 per cell]
C: 0.000 0.000 0.500 [4 per cell]